Record 1
Sr2GaAu, optimized geometry, DFT GGA-PBE; energy relative to the elements = -0.568 eV/atom; total energy = -2.9846 eV per atom
1.0
6.1711 0.0000 0.0000
0.0000 4.6161 0.0000
-2.4985 0.0000 8.7507
Sr Ga Au
4 2 2
direct
0.2095 0.2500 0.4254
0.2814 0.7500 0.0689
0.7186 0.2500 0.9311
0.7905 0.7500 0.5746
0.3435 0.7500 0.7200
0.6565 0.2500 0.2800
0.1633 0.2500 0.7794
0.8367 0.7500 0.2206

***

Record 2
Ac3LaP4, optimized geometry, DFT GGA-PBE; energy relative to the elements = -1.482 eV/atom; total energy = -6.3434 eV per atom
1.0
6.2370 0.0000 0.0000
0.0000 6.2370 0.0000
0.0000 0.0000 6.2370
Ac La P
3 1 4
direct
0.0000 0.0000 0.5000
0.0000 0.5000 0.0000
0.5000 0.0000 0.0000
0.5000 0.5000 0.5000
0.0000 0.0000 0.0000
0.0000 0.5000 0.5000
0.5000 0.0000 0.5000
0.5000 0.5000 0.0000